Entry 1:
# Ta2BePt

Crystalline Ta2BePt at its relaxed geometry (PBE, Alexandria).

a b c (Å): 5.123 5.123 5.123
angles (deg): 136.70 136.70 62.90
Fractional positions:
Be 0.500 0.500 0.000
Pt 0.750 0.250 0.500
Ta 0.000 0.000 0.000
Ta 0.250 0.750 0.500

Summary:
Symmetry: I-4m2

=====

Entry 2:
# SrMnAg2

Crystalline SrMnAg2 at its relaxed geometry (PBE, Alexandria).

a b c (Å): 7.937 4.968 3.742
angles (deg): 90.04 61.97 128.65
Each line ends with the local moment (μB).
Fractional positions:
Ag 0.000 0.000 0.000  -0.01
Ag 0.500 0.000 0.500  -0.01
Mn 0.000 0.500 0.500  4.06
Sr 0.500 0.500 0.000  -0.04

Summary:
Symmetry: P-1

=====

Entry 3:
# LaAl2PtAu2

Crystalline LaAl2PtAu2 at its relaxed geometry (PBE, Alexandria).

a b c (Å): 4.783 4.783 5.793
angles (deg): 90.00 90.00 90.00
Fractional positions:
La 0.000 0.000 0.500
Al 0.500 0.000 0.000
Al 0.000 0.500 0.000
Pt 0.000 0.000 0.000
Au 0.500 0.500 0.737
Au 0.500 0.500 0.263

Summary:
Symmetry: P4/mmm

=====

Entry 4:
# CeHf2Tl

Crystalline CeHf2Tl at its relaxed geometry (PBE, Alexandria).

a b c (Å): 3.156 3.156 9.652
angles (deg): 90.00 90.00 90.00
Fractional positions:
Tl 0.500 0.500 0.000
Hf 0.000 0.000 0.760
Hf 0.000 0.000 0.240
Ce 0.500 0.500 0.500

Summary:
Symmetry: P4/mmm
Excess energy over the best structure of this formula in the dataset (eV/atom): 0.072

=====

| no. | VASP energy (eV per atom) | spin magnetization (μB/atom) |
| --- | --- | --- |
| 1 | -8.520 | 0.0000 |
| 2 | -3.888 | 1.0280 |
| 3 | -4.809 | 0.0000 |
| 4 | -6.905 | 0.0000 |